Record 1
A plane-wave DFT calculation with PBE was carried out for crystalline KPa3Te at its relaxed geometry.

Total magnetic moment = 1.49 μB per cell

a b c (Å): 5.967 5.967 10.289
angles (deg): 90.00 90.00 120.00
Site moments in Bohr magnetons follow the coordinates.
Fractional coordinates of all 10 atoms:
1 Pa 0.000 0.500 0.135  0.22
2 Pa 0.500 0.500 0.865  0.20
3 Pa 0.500 0.000 0.135  0.21
4 Pa 0.500 0.500 0.135  0.20
5 Pa 0.000 0.500 0.865  0.22
6 Pa 0.500 0.000 0.865  0.21
7 Te 0.000 0.000 0.266  0.00
8 Te 0.000 0.000 0.734  0.00
9 K 0.333 0.667 0.500  0.00
10 K 0.667 0.333 0.500  0.00


Record 2
A plane-wave DFT calculation with PBE was carried out for crystalline NaLi2Pa at its relaxed geometry.

Total magnetic moment = 0.36 μB per cell

a b c (Å): 3.091 3.091 21.856
angles (deg): 90.00 90.00 120.00
Site moments in Bohr magnetons follow the coordinates.
Fractional coordinates of all 8 atoms:
1 Li 0.333 0.667 0.627  0.00
2 Li 0.333 0.667 0.873  0.00
3 Li 0.667 0.333 0.373  0.00
4 Li 0.667 0.333 0.127  0.00
5 Pa 0.000 0.000 0.500  0.14
6 Pa 0.000 0.000 0.000  0.14
7 Na 0.667 0.333 0.750  0.00
8 Na 0.333 0.667 0.250  0.00


Record 3
A plane-wave DFT calculation with PBE was carried out for crystalline TlSn2Hg at its relaxed geometry.

a b c (Å): 5.381 5.381 5.381
angles (deg): 60.00 60.00 60.00
Fractional coordinates of all 4 atoms:
1 Tl 0.750 0.750 0.750
2 Sn 0.250 0.250 0.250
3 Sn 0.000 0.000 0.000
4 Hg 0.500 0.500 0.500


Electronic total energy readings, ordered: -63.48; -27.60; -10.49 eV per cell